Computed, not measured: a geometry-optimized Pm2Os2C3 structure at the GGA-PBE level of DFT.

The energy of formation from the pure elements comes out at 0.70 kcal/mol of atoms. The energy above the most stable polymorph in this dataset is 170 meV per atom.

The structure belongs to space group R-3m (No. 166, hexagonal axes); the cell edges are 5.7002, 5.7002 and 12.7473 Å and the angles 90.00°, 90.00° and 120.00°. The inequivalent atoms are Pm at (0.0000, 0.0000, 0.0000), Pm at (0.0000, 0.0000, 0.5000), Os at (0.0000, 0.0000, 0.2402) and C at (0.0000, 0.5000, 0.5000).

---

Computed, not measured: a geometry-optimized RbGa2RePb structure at the GGA-PBE level of DFT.

The energy of formation from the pure elements comes out at 49.79 kcal/mol of atoms.

The structure belongs to space group P4/mmm (No. 123); the cell edges are 5.589, 5.589 and 5.235 Å and the angles 90.00°, 90.00° and 90.00°. The inequivalent atoms are Rb at (0.000, 0.000, 0.000), Ga at (0.000, 0.500, 0.000), Re at (0.000, 0.000, 0.500) and Pb at (0.500, 0.500, 0.500).

---

Computed, not measured: a geometry-optimized Dy6Bi2C structure at the GGA-PBE level of DFT.

The energy of formation from the pure elements comes out at -10.35 kcal/mol of atoms. The energy above the most stable polymorph in this dataset is 0 meV per atom.

The structure belongs to space group P2_1/c (No. 14); the cell edges are 6.479, 7.930 and 11.583 Å and the angles 90.00°, 121.94° and 90.00°. The inequivalent atoms are Dy at (0.135, 0.163, 0.462), Dy at (0.320, 0.716, 0.457), Dy at (0.364, 0.025, 0.255), Bi at (0.178, 0.105, 0.759) and C at (0.500, 0.000, 0.500).

---

Computed, not measured: a geometry-optimized Na2ZnBiH structure at the GGA-PBE level of DFT.

The calculation puts the total energy at -2.313 eV/atom.

The structure belongs to space group P4/mmm (No. 123); the cell edges are 4.389, 4.389 and 5.165 Å and the angles 90.00°, 90.00° and 90.00°. The inequivalent atoms are Na at (0.000, 0.500, 0.000), Zn at (0.000, 0.000, 0.500), Bi at (0.500, 0.500, 0.500) and H at (0.000, 0.000, 0.000).

---

Computed, not measured: a geometry-optimized PmHo2I8 structure at the GGA-PBE level of DFT.

The value obtained for the formation energy from raw total energies is -117.6 kJ per mole of atoms.

The structure belongs to space group C2/m (No. 12); the cell edges are 15.760, 10.591 and 7.337 Å and the angles 90.00°, 91.25° and 90.00°. The inequivalent atoms are Pm at (0.000, 0.000, 0.000), Ho at (0.173, 0.000, 0.637), I at (0.077, 0.218, 0.760), I at (0.154, 0.500, 0.255) and I at (0.173, 0.000, 0.236).

---

Computed, not measured: a geometry-optimized Ca2VMo structure at the GGA-PBE level of DFT.

The energy of formation from the pure elements comes out at 26.02 kcal/mol of atoms. The energy above the most stable polymorph in this dataset is 0 meV per atom.

The structure belongs to space group Fm-3m (No. 225); the cell edges are 7.315, 7.315 and 7.315 Å and the angles 90.00°, 90.00° and 90.00°. The inequivalent atoms are Ca at (0.250, 0.250, 0.250), V at (0.000, 0.000, 0.000) and Mo at (0.000, 0.000, 0.500).

---

Computed, not measured: a geometry-optimized LaTbPm6Er2 structure at the GGA-PBE level of DFT.

The energy of formation from the pure elements comes out at 2.68 kcal/mol of atoms.

The structure belongs to space group C2/c (No. 15); the cell edges are 9.283, 15.247 and 9.733 Å and the angles 90.00°, 97.84° and 90.00°. The inequivalent atoms are La at (0.000, 0.094, 0.250), Tb at (0.000, 0.469, 0.750), Pm at (0.065, 0.324, 0.445), Pm at (0.097, 0.108, 0.620), Pm at (0.207, 0.273, 0.819) and Er at (0.244, 0.451, 0.047).

---

Computed, not measured: a geometry-optimized Na2Sb3 structure at the GGA-PBE level of DFT.

The value obtained for the formation energy from raw total energies is -15.5 kJ per mole of atoms. The energy above the most stable polymorph in this dataset is 23 meV per atom.

The structure belongs to space group Cmc2_1 (No. 36); the cell edges are 6.211, 11.370 and 8.683 Å and the angles 90.00°, 90.00° and 90.00°. The inequivalent atoms are Na at (0.000, 0.116, 0.000), Na at (0.000, 0.372, 0.760), Sb at (0.000, 0.213, 0.376) and Sb at (0.240, 0.386, 0.149).

---

Computed, not measured: a geometry-optimized BaN2Cl structure at the GGA-PBE level of DFT.

The value obtained for the formation energy from raw total energies is 91.7 kJ per mole of atoms. The energy above the most stable polymorph in this dataset is 1982 meV per atom.

The structure belongs to space group I-42d (No. 122); the cell edges are 4.309, 4.309 and 16.138 Å and the angles 90.00°, 90.00° and 90.00°. The inequivalent atoms are Ba at (0.000, 0.000, 0.000), N at (0.051, 0.750, 0.625) and Cl at (0.000, 0.000, 0.500).

---

Computed, not measured: a geometry-optimized Cr3CdB structure at the GGA-PBE level of DFT.

The energy of formation from the pure elements comes out at 56.36 kcal/mol of atoms. The energy above the most stable polymorph in this dataset is 2032 meV per atom.

The structure belongs to space group Pm-3m (No. 221); the cell edges are 5.090, 5.090 and 5.090 Å and the angles 90.00°, 90.00° and 90.00°. The inequivalent atoms are Cr at (0.000, 0.000, 0.500), Cd at (0.000, 0.000, 0.000) and B at (0.500, 0.500, 0.500).

---

Computed, not measured: a geometry-optimized Ba8Li structure at the GGA-PBE level of DFT.

The energy of formation from the pure elements comes out at 0.85 kcal/mol of atoms. The energy above the most stable polymorph in this dataset is 0 meV per atom.

The structure belongs to space group I4/mmm (No. 139); the cell edges are 14.736, 14.736 and 4.935 Å and the angles 90.00°, 90.00° and 90.00°. The inequivalent atoms are Ba at (0.000, 0.337, 0.000), Ba at (0.156, 0.156, 0.500) and Li at (0.000, 0.000, 0.000).

---

Computed, not measured: a geometry-optimized LiTaCo structure at the GGA-PBE level of DFT.

The energy of formation from the pure elements comes out at 4.67 kcal/mol of atoms. The energy above the most stable polymorph in this dataset is 0 meV per atom.

The structure belongs to space group Imm2 (No. 44); the cell edges are 3.136, 3.149 and 8.487 Å and the angles 90.00°, 90.00° and 90.00°. The inequivalent atoms are Li at (0.000, 0.000, 0.000), Ta at (0.000, 0.000, 0.695) and Co at (0.000, 0.000, 0.332).

---

Computed, not measured: a geometry-optimized ZnTe structure at the GGA-PBE level of DFT.

The value obtained for the formation energy from raw total energies is 4.0 kJ per mole of atoms.

The structure belongs to space group Imma (No. 74); the cell edges are 3.880, 3.970 and 12.992 Å and the angles 90.00°, 90.00° and 90.00°. The inequivalent atoms are Zn at (0.000, 0.250, 0.089) and Te at (0.000, 0.250, 0.633).

---

Computed, not measured: a geometry-optimized RbCN4 structure at the GGA-PBE level of DFT.

The value obtained for the formation energy from raw total energies is 9.9 kJ per mole of atoms.

The structure belongs to space group C2/m (No. 12); the cell edges are 7.399, 6.030 and 7.026 Å and the angles 90.00°, 116.84° and 90.00°. The inequivalent atoms are Rb at (0.000, 0.000, 0.000), C at (0.000, 0.500, 0.500), N at (0.030, 0.000, 0.588) and N at (0.073, 0.500, 0.697).

---

Computed, not measured: a geometry-optimized Nb2AlSi structure at the GGA-PBE level of DFT.

The value obtained for the formation energy from raw total energies is -1.2 kJ per mole of atoms. The energy above the most stable polymorph in this dataset is 66 meV per atom.

The structure belongs to space group I-42d (No. 122); the cell edges are 7.022, 7.022 and 5.648 Å and the angles 90.00°, 90.00° and 90.00°. The inequivalent atoms are Nb at (0.236, 0.250, 0.125), Al at (0.000, 0.000, 0.500) and Si at (0.000, 0.000, 0.000).

---

Computed, not measured: a geometry-optimized Pm2Ni4Sn3Hg structure at the GGA-PBE level of DFT.

The energy of formation from the pure elements comes out at -10.04 kcal/mol of atoms.

The structure belongs to space group P-4m2 (No. 115); the cell edges are 4.468, 4.468 and 10.058 Å and the angles 90.00°, 90.00° and 90.00°. The inequivalent atoms are Pm at (0.000, 0.500, 0.238), Ni at (0.000, 0.000, 0.000), Ni at (0.000, 0.500, 0.630), Ni at (0.500, 0.500, 0.000), Sn at (0.000, 0.500, 0.876), Sn at (0.500, 0.500, 0.500) and Hg at (0.000, 0.000, 0.500).

---

Computed, not measured: a geometry-optimized Fe5IrPt4 structure at the GGA-PBE level of DFT.

The energy of formation from the pure elements comes out at -4.34 kcal/mol of atoms.

The structure belongs to space group Pmmm (No. 47); the cell edges are 2.725, 3.706 and 13.681 Å and the angles 90.00°, 90.00° and 90.00°. The inequivalent atoms are Fe at (0.000, 0.000, 0.000), Fe at (0.000, 0.000, 0.203), Fe at (0.000, 0.000, 0.409), Ir at (0.500, 0.500, 0.500), Pt at (0.500, 0.500, 0.101) and Pt at (0.500, 0.500, 0.303).

---

Computed, not measured: a geometry-optimized LaY2Cl structure at the GGA-PBE level of DFT.

The value obtained for the formation energy from raw total energies is -64.8 kJ per mole of atoms. The energy above the most stable polymorph in this dataset is 0 meV per atom.

The structure belongs to space group R-3m (No. 166, hexagonal axes); the cell edges are 3.6618, 3.6618 and 30.0054 Å and the angles 90.00°, 90.00° and 120.00°. The inequivalent atoms are La at (0.0000, 0.0000, 0.0000), Y at (0.0000, 0.0000, 0.2382) and Cl at (0.0000, 0.0000, 0.5000).

---

Computed, not measured: a geometry-optimized Ac2HRh structure at the GGA-PBE level of DFT.

The energy above the most stable polymorph in this dataset is 82 meV per atom.

The structure belongs to space group R3m (No. 160, hexagonal axes); the cell edges are 4.1598, 4.1598 and 21.8848 Å and the angles 90.00°, 90.00° and 120.00°. The inequivalent atoms are Ac at (0.0000, 0.0000, 0.0000), Ac at (0.0000, 0.0000, 0.1772), H at (0.0000, 0.0000, 0.4165) and Rh at (0.0000, 0.0000, 0.5893).

---

Computed, not measured: a geometry-optimized RbGa2Ge structure at the GGA-PBE level of DFT.

The energy of formation from the pure elements comes out at 0.89 kcal/mol of atoms.

The structure belongs to space group P4/nmm (No. 129, origin choice 2); the cell edges are 4.549, 4.549 and 10.511 Å and the angles 90.00°, 90.00° and 90.00°. The inequivalent atoms are Rb at (0.250, 0.250, 0.238), Ga at (0.250, 0.250, 0.926), Ga at (0.250, 0.750, 0.500) and Ge at (0.250, 0.250, 0.640).

---

| no. | size of the total moment (Bohr magnetons per cell) |
| --- | --- |
| 1 | 0.00 |
| 2 | 2.78 |
| 3 | 0.00 |
| 4 | 0.00 |
| 5 | 2.03 |
| 6 | 23.32 |
| 7 | 0.00 |
| 8 | 0.00 |
| 9 | 0.00 |
| 10 | 13.66 |
| 11 | 0.00 |
| 12 | 0.00 |
| 13 | 0.00 |
| 14 | 2.01 |
| 15 | 0.00 |
| 16 | 0.00 |
| 17 | 2.16 |
| 18 | 0.00 |
| 19 | 0.00 |
| 20 | 0.00 |